RbAsAu2 | meta-GGA SCAN | single point on PBEsol structure

formation enthalpy at 0 K = -0.447 eV per atom
total magnetization = 0.00 μB per formula unit
ρ = 7.12 Mg/m³
DOS at the Fermi energy = 0.005 states/eV per atom

a b c (Å): 5.737 5.737 8.841
angles (deg): 108.93 108.93 90.00
Atoms (fractional coordinates):
As (0.750, 0.250, 0.500)
As (0.500, 0.500, 0.000)
Au (0.625, 0.375, 0.750)
Au (0.625, 0.375, 0.250)
Au (0.125, 0.375, 0.750)
Au (0.625, 0.875, 0.250)
Rb (0.000, 0.000, 0.000)
Rb (0.250, 0.750, 0.500)


Re2AsAu | meta-GGA SCAN | single point on PBEsol structure

formation enthalpy at 0 K = 0.542 eV per atom
total magnetization = 0.00 μB per formula unit
ρ = 17.48 Mg/m³
DOS at the Fermi energy = 0.679 states/eV per atom

a b c (Å): 2.947 3.986 5.391
angles (deg): 90.00 104.83 90.00
Atoms (fractional coordinates):
Re (0.132, 0.000, 0.768)
Re (0.868, 0.000, 0.232)
Au (0.500, 0.500, 0.500)
As (0.500, 0.500, 0.000)


ReAsAu4 | meta-GGA SCAN | single point on PBEsol structure

formation enthalpy at 0 K = 0.874 eV per atom
total magnetization = 3.84 μB per formula unit
ρ = 15.97 Mg/m³
DOS at the Fermi energy = 0.335 states/eV per atom

a b c (Å): 5.363 5.363 5.363
angles (deg): 60.00 60.00 60.00
Last column: magnetic moment on the atom in μB.
Atoms (fractional coordinates):
As (0.000, 0.000, 0.000)  -0.10
Au (0.625, 0.625, 0.625)  0.10
Au (0.625, 0.625, 0.126)  0.10
Au (0.625, 0.126, 0.625)  0.10
Au (0.126, 0.625, 0.625)  0.10
Re (0.250, 0.250, 0.250)  2.93


AsRhAu2 | meta-GGA SCAN | single point on PBEsol structure

formation enthalpy at 0 K = 0.133 eV per atom
total magnetization = 0.00 μB per formula unit
ρ = 14.77 Mg/m³
DOS at the Fermi energy = 0.508 states/eV per atom

a b c (Å): 4.043 4.043 4.862
angles (deg): 114.57 114.57 90.00
Atoms (fractional coordinates):
Rh (0.500, 0.500, 0.000)
Au (0.750, 0.250, 0.500)
Au (0.000, 0.000, 0.000)
As (0.250, 0.750, 0.500)


AsRh2Au | meta-GGA SCAN | single point on PBEsol structure

formation enthalpy at 0 K = 0.085 eV per atom
total magnetization = 1.44 μB per formula unit
ρ = 12.94 Mg/m³
DOS at the Fermi energy = 0.724 states/eV per atom

a b c (Å): 2.831 2.831 8.979
angles (deg): 80.93 80.93 60.00
Last column: magnetic moment on the atom in μB.
Atoms (fractional coordinates):
As (0.491, 0.491, 0.527)  0.00
Rh (0.005, 0.005, 0.985)  0.97
Rh (0.752, 0.752, 0.744)  0.52
Au (0.252, 0.252, 0.244)  0.03


AsRhAu2 | meta-GGA SCAN | single point on PBEsol structure

formation enthalpy at 0 K = 0.247 eV per atom
total magnetization = 0.00 μB per formula unit
ρ = 14.55 Mg/m³
DOS at the Fermi energy = 1.010 states/eV per atom

a b c (Å): 2.876 2.876 9.260
angles (deg): 81.07 81.07 60.00
Atoms (fractional coordinates):
Rh (0.500, 0.500, 0.500)
Au (0.752, 0.752, 0.744)
Au (0.248, 0.248, 0.256)
As (0.000, 0.000, 0.000)